The following is a PBE+U calculation of a geometry-optimized Ca4Al6WO16 structure, from the Alexandria database.

Structure (CIF):
```
data_Ca4Al6WO16
_symmetry_space_group_name_H-M 'I -4 3 m'
_symmetry_Int_Tables_number 217
_symmetry_space_group_name_Hall 'I -4 2 3'
_cell_length_a 9.459
_cell_length_b 9.459
_cell_length_c 9.459
_cell_angle_alpha 90.00
_cell_angle_beta 90.00
_cell_angle_gamma 90.00
loop_
_atom_site_label
_atom_site_type_symbol
_atom_site_fract_x
_atom_site_fract_y
_atom_site_fract_z
_atom_site_occupancy
Ca1 Ca 0.249 0.249 0.249 1
Al1 Al 0.000 0.250 0.500 1
W1 W 0.000 0.000 0.000 1
O1 O 0.043 0.346 0.346 1
O2 O 0.110 0.110 0.110 1
```

Computed properties:
Magnetization   0.00 μB per formula unit
E   -7.242 eV per atom
D(E_F)   0.00 states/eV/cell
Theoretical density   2.99 g/cm³
Distance to the lowest polymorph of the same formula   0.019 eV/atom
Calculated volume   846 Å³ per cell